# TbPr2Dy5Sc, relaxed, DFT PBE
# **Density of states at the Fermi level**: 49.76 states/eV/cell
# **Total DFT energy (no corrections)**: -4.684 eV/atom
# **Crystal system**: orthorhombic
data_TbPr2Dy5Sc
_chemical_formula_sum 'Tb4 Pr8 Dy20 Sc4'
_cell_length_a 5.5763
_cell_length_b 20.0131
_cell_length_c 10.4236
_cell_angle_alpha 90.00
_cell_angle_beta 90.00
_cell_angle_gamma 90.00
_symmetry_space_group_name_H-M 'C m c 21'
_symmetry_Int_Tables_number 36
loop_
_symmetry_equiv_pos_as_xyz
'x,y,z'
'-x,-y,z+1/2'
'-x,y,z'
'x,-y,z+1/2'
'x+1/2,y+1/2,z'
'-x+1/2,-y+1/2,z+1/2'
'-x+1/2,y+1/2,z'
'x+1/2,-y+1/2,z+1/2'
loop_
_atom_site_label
_atom_site_type_symbol
_atom_site_fract_x
_atom_site_fract_y
_atom_site_fract_z
Tb1 Tb 0.0000 0.0915 0.0000
Pr1 Pr 0.0000 0.3846 0.2748
Pr2 Pr 0.0000 0.3865 0.8542
Dy1 Dy 0.0000 0.0168 0.2815
Dy2 Dy 0.0000 0.1256 0.5592
Dy3 Dy 0.0000 0.2024 0.2422
Dy4 Dy 0.0000 0.2245 0.8609
Dy5 Dy 0.0000 0.4841 0.5570
Sc1 Sc 0.0000 0.3040 0.5543

***

# Tb2Pr5DySc, relaxed, DFT PBE
# **Density of states at the Fermi level**: 51.78 states/eV/cell
# **Total DFT energy (no corrections)**: -4.778 eV/atom
# **Crystal system**: orthorhombic
data_Tb2Pr5DySc
_chemical_formula_sum 'Tb8 Pr20 Dy4 Sc4'
_cell_length_a 5.4227
_cell_length_b 22.0146
_cell_length_c 10.3111
_cell_angle_alpha 90.00
_cell_angle_beta 90.00
_cell_angle_gamma 90.00
_symmetry_space_group_name_H-M 'C m c 21'
_symmetry_Int_Tables_number 36
loop_
_symmetry_equiv_pos_as_xyz
'x,y,z'
'-x,-y,z+1/2'
'-x,y,z'
'x,-y,z+1/2'
'x+1/2,y+1/2,z'
'-x+1/2,-y+1/2,z+1/2'
'-x+1/2,y+1/2,z'
'x+1/2,-y+1/2,z+1/2'
loop_
_atom_site_label
_atom_site_type_symbol
_atom_site_fract_x
_atom_site_fract_y
_atom_site_fract_z
Tb1 Tb 0.0000 0.1153 0.0000
Tb2 Tb 0.0000 0.1156 0.5042
Pr1 Pr 0.0000 0.0002 0.2521
Pr2 Pr 0.0000 0.2781 0.0647
Pr3 Pr 0.0000 0.2784 0.4403
Pr4 Pr 0.0000 0.3724 0.7522
Pr5 Pr 0.0000 0.4999 0.0021
Dy1 Dy 0.0000 0.3980 0.2521
Sc1 Sc 0.0000 0.2115 0.7525

***

# TbPrDy2Sc2, relaxed, DFT PBE
# **Density of states at the Fermi level**: 20.71 states/eV/cell
# **Total DFT energy (no corrections)**: -4.934 eV/atom
# **Crystal system**: orthorhombic
data_TbPrDy2Sc2
_chemical_formula_sum 'Tb2 Pr2 Dy4 Sc4'
_cell_length_a 6.2905
_cell_length_b 17.5474
_cell_length_c 3.3527
_cell_angle_alpha 90.00
_cell_angle_beta 90.00
_cell_angle_gamma 90.00
_symmetry_space_group_name_H-M 'P n n m'
_symmetry_Int_Tables_number 58
loop_
_symmetry_equiv_pos_as_xyz
'x,y,z'
'-x,-y,-z'
'-x,-y,z'
'x,y,-z'
'x+1/2,-y+1/2,-z+1/2'
'-x+1/2,y+1/2,z+1/2'
'-x+1/2,y+1/2,-z+1/2'
'x+1/2,-y+1/2,z+1/2'
loop_
_atom_site_label
_atom_site_type_symbol
_atom_site_fract_x
_atom_site_fract_y
_atom_site_fract_z
Tb1 Tb 0.0000 0.0000 0.0000
Pr1 Pr 0.0000 0.5000 0.0000
Dy1 Dy 0.2168 0.3068 0.0000
Sc1 Sc 0.2137 0.1458 0.5000

***

# Tb6PrDy2Sc3, relaxed, DFT PBE
# **Density of states at the Fermi level**: 33.63 states/eV/cell
# **Total DFT energy (no corrections)**: -5.018 eV/atom
# **Crystal system**: monoclinic
data_Tb6PrDy2Sc3
_chemical_formula_sum 'Tb12 Pr2 Dy4 Sc6'
_cell_length_a 6.0784
_cell_length_b 10.5244
_cell_length_c 11.5164
_cell_angle_alpha 90.00
_cell_angle_beta 100.11
_cell_angle_gamma 90.00
_symmetry_space_group_name_H-M 'C 1 2/m 1'
_symmetry_Int_Tables_number 12
loop_
_symmetry_equiv_pos_as_xyz
'x,y,z'
'-x,-y,-z'
'-x,y,-z'
'x,-y,z'
'x+1/2,y+1/2,z'
'-x+1/2,-y+1/2,-z'
'-x+1/2,y+1/2,-z'
'x+1/2,-y+1/2,z'
loop_
_atom_site_label
_atom_site_type_symbol
_atom_site_fract_x
_atom_site_fract_y
_atom_site_fract_z
Tb1 Tb 0.2460 0.1669 0.2395
Tb2 Tb 0.2468 0.5000 0.2393
Pr1 Pr 0.0000 0.5000 0.5000
Dy1 Dy 0.0000 0.1666 0.5000
Sc1 Sc 0.0000 0.0000 0.0000
Sc2 Sc 0.0000 0.3329 0.0000

***

# Tb2PrDySc2, relaxed, DFT PBE
# **Density of states at the Fermi level**: 21.18 states/eV/cell
# **Total DFT energy (no corrections)**: -4.940 eV/atom
# **Crystal system**: orthorhombic
data_Tb2PrDySc2
_chemical_formula_sum 'Tb4 Pr2 Dy2 Sc4'
_cell_length_a 6.2903
_cell_length_b 17.5799
_cell_length_c 3.3570
_cell_angle_alpha 90.00
_cell_angle_beta 90.00
_cell_angle_gamma 90.00
_symmetry_space_group_name_H-M 'P n n m'
_symmetry_Int_Tables_number 58
loop_
_symmetry_equiv_pos_as_xyz
'x,y,z'
'-x,-y,-z'
'-x,-y,z'
'x,y,-z'
'x+1/2,-y+1/2,-z+1/2'
'-x+1/2,y+1/2,z+1/2'
'-x+1/2,y+1/2,-z+1/2'
'x+1/2,-y+1/2,z+1/2'
loop_
_atom_site_label
_atom_site_type_symbol
_atom_site_fract_x
_atom_site_fract_y
_atom_site_fract_z
Tb1 Tb 0.2166 0.1932 0.0000
Pr1 Pr 0.0000 0.0000 0.0000
Dy1 Dy 0.0000 0.5000 0.0000
Sc1 Sc 0.2132 0.3546 0.5000

***

# Tb2Pr4DySc, relaxed, DFT PBE
# **Density of states at the Fermi level**: 10.35 states/eV/cell
# **Total DFT energy (no corrections)**: -4.885 eV/atom
# **Crystal system**: orthorhombic
data_Tb2Pr4DySc
_chemical_formula_sum 'Tb2 Pr4 Dy1 Sc1'
_cell_length_a 5.1297
_cell_length_b 5.1451
_cell_length_c 9.9697
_cell_angle_alpha 90.00
_cell_angle_beta 90.00
_cell_angle_gamma 90.00
_symmetry_space_group_name_H-M 'P m m m'
_symmetry_Int_Tables_number 47
loop_
_symmetry_equiv_pos_as_xyz
'x,y,z'
'-x,-y,-z'
'-x,-y,z'
'x,y,-z'
'x,-y,-z'
'-x,y,z'
'-x,y,-z'
'x,-y,z'
loop_
_atom_site_label
_atom_site_type_symbol
_atom_site_fract_x
_atom_site_fract_y
_atom_site_fract_z
Tb1 Tb 0.0000 0.0000 0.0000
Tb2 Tb 0.5000 0.5000 0.5000
Pr1 Pr 0.0000 0.5000 0.2449
Pr2 Pr 0.5000 0.0000 0.2453
Dy1 Dy 0.0000 0.0000 0.5000
Sc1 Sc 0.5000 0.5000 0.0000

***

# TbPr2DySc, relaxed, DFT PBE
# **Density of states at the Fermi level**: 11.75 states/eV/cell
# **Total DFT energy (no corrections)**: -4.820 eV/atom
# **Crystal system**: orthorhombic
data_TbPr2DySc
_chemical_formula_sum 'Tb2 Pr4 Dy2 Sc2'
_cell_length_a 6.2697
_cell_length_b 7.8896
_cell_length_c 6.5664
_cell_angle_alpha 90.00
_cell_angle_beta 90.00
_cell_angle_gamma 90.00
_symmetry_space_group_name_H-M 'P m m a'
_symmetry_Int_Tables_number 51
loop_
_symmetry_equiv_pos_as_xyz
'x,y,z'
'-x,-y,-z'
'-x+1/2,-y,z'
'x+1/2,y,-z'
'x+1/2,-y,-z'
'-x+1/2,y,z'
'-x,y,-z'
'x,-y,z'
loop_
_atom_site_label
_atom_site_type_symbol
_atom_site_fract_x
_atom_site_fract_y
_atom_site_fract_z
Tb1 Tb 0.2500 0.0000 0.0901
Pr1 Pr 0.2500 0.2968 0.7157
Dy1 Dy 0.2500 0.5000 0.1884
Sc1 Sc 0.0000 0.0000 0.5000

***

# Tb3PrDy6Sc2, relaxed, DFT PBE
# **Density of states at the Fermi level**: 32.39 states/eV/cell
# **Total DFT energy (no corrections)**: -4.876 eV/atom
# **Crystal system**: monoclinic
data_Tb3PrDy6Sc2
_chemical_formula_sum 'Tb6 Pr2 Dy12 Sc4'
_cell_length_a 6.0866
_cell_length_b 10.5340
_cell_length_c 11.6591
_cell_angle_alpha 90.00
_cell_angle_beta 99.96
_cell_angle_gamma 90.00
_symmetry_space_group_name_H-M 'C 1 2/m 1'
_symmetry_Int_Tables_number 12
loop_
_symmetry_equiv_pos_as_xyz
'x,y,z'
'-x,-y,-z'
'-x,y,-z'
'x,-y,z'
'x+1/2,y+1/2,z'
'-x+1/2,-y+1/2,-z'
'-x+1/2,y+1/2,-z'
'x+1/2,-y+1/2,z'
loop_
_atom_site_label
_atom_site_type_symbol
_atom_site_fract_x
_atom_site_fract_y
_atom_site_fract_z
Tb1 Tb 0.0000 0.0000 0.0000
Tb2 Tb 0.0000 0.3328 0.0000
Pr1 Pr 0.0000 0.5000 0.5000
Dy1 Dy 0.2462 0.0000 0.7466
Dy2 Dy 0.2488 0.1682 0.2534
Sc1 Sc 0.0000 0.1667 0.5000

***

# TbPr2Dy6Sc3, relaxed, DFT PBE
# **Density of states at the Fermi level**: 34.66 states/eV/cell
# **Total DFT energy (no corrections)**: -5.018 eV/atom
# **Crystal system**: monoclinic
data_TbPr2Dy6Sc3
_chemical_formula_sum 'Tb2 Pr4 Dy12 Sc6'
_cell_length_a 6.0918
_cell_length_b 10.5533
_cell_length_c 11.5472
_cell_angle_alpha 90.00
_cell_angle_beta 100.14
_cell_angle_gamma 90.00
_symmetry_space_group_name_H-M 'C 1 2/m 1'
_symmetry_Int_Tables_number 12
loop_
_symmetry_equiv_pos_as_xyz
'x,y,z'
'-x,-y,-z'
'-x,y,-z'
'x,-y,z'
'x+1/2,y+1/2,z'
'-x+1/2,-y+1/2,-z'
'-x+1/2,y+1/2,-z'
'x+1/2,-y+1/2,z'
loop_
_atom_site_label
_atom_site_type_symbol
_atom_site_fract_x
_atom_site_fract_y
_atom_site_fract_z
Tb1 Tb 0.0000 0.0000 0.0000
Pr1 Pr 0.0000 0.3332 0.0000
Dy1 Dy 0.2452 0.0000 0.7378
Dy2 Dy 0.2463 0.3337 0.7377
Sc1 Sc 0.0000 0.1663 0.5000
Sc2 Sc 0.0000 0.5000 0.5000

***

# Tb2PrDy4Sc, relaxed, DFT PBE
# **Density of states at the Fermi level**: 72.16 states/eV/cell
# **Total DFT energy (no corrections)**: -4.416 eV/atom
# **Crystal system**: monoclinic
data_Tb2PrDy4Sc
_chemical_formula_sum 'Tb8 Pr4 Dy16 Sc4'
_cell_length_a 13.4733
_cell_length_b 13.1058
_cell_length_c 6.7573
_cell_angle_alpha 90.00
_cell_angle_beta 120.10
_cell_angle_gamma 90.00
_symmetry_space_group_name_H-M 'C 1 2/c 1'
_symmetry_Int_Tables_number 15
loop_
_symmetry_equiv_pos_as_xyz
'x,y,z'
'-x,-y,-z'
'-x,y,-z+1/2'
'x,-y,z+1/2'
'x+1/2,y+1/2,z'
'-x+1/2,-y+1/2,-z'
'-x+1/2,y+1/2,-z+1/2'
'x+1/2,-y+1/2,z+1/2'
loop_
_atom_site_label
_atom_site_type_symbol
_atom_site_fract_x
_atom_site_fract_y
_atom_site_fract_z
Tb1 Tb 0.0000 0.0000 0.0000
Tb2 Tb 0.2500 0.2500 0.0000
Pr1 Pr 0.0000 0.5000 0.0000
Dy1 Dy 0.9999 0.2476 0.0063
Dy2 Dy 0.2481 0.0089 0.4966
Sc1 Sc 0.2500 0.2500 0.5000

***

no.,formation enthalpy at 0 K (eV per formula unit)
1,1.4
2,1.1
3,1.7
4,0.5
5,1.7
6,0.2
7,1.0
8,0.4
9,0.6
10,3.4